Crystalline Y3PPb at its relaxed geometry. Source: the Alexandria database, functional PBE.

## Properties
Spin magnetization: 0.0 μB per formula unit
Total DFT energy (no corrections): -62.13 eV per cell
ΔH_f (0 K): -0.511 eV per atom
Excess energy over the best structure of this formula in the dataset: 403.6 meV/atom
SG: C2/m, No. 12

Unit cell a=22.340 b=9.271 c=9.271 alpha=155.25 beta=153.22 gamma=26.78
Atoms (fractional coordinates):
Y1 0.102 0.195 0.805
Y2 0.898 0.805 0.195
Y3 0.810 0.253 0.747
Y4 0.562 0.257 0.743
Y5 0.190 0.747 0.253
Y6 0.438 0.743 0.257
P1 0.358 0.991 0.009
P2 0.642 0.009 0.991
Pb1 0.847 0.041 0.959
Pb2 0.153 0.959 0.041